No. 1
Entry from the Alexandria database: a PBEsol-optimized structure of Ni2W (SCAN).

Unit cell a=2.597 b=4.148 c=6.819 alpha=90.00 beta=100.98 gamma=90.00
Element x y z (fractional)
W 0.113 0.750 0.227
W 0.887 0.250 0.773
Ni 0.553 0.250 0.106
Ni 0.781 0.750 0.562
Ni 0.447 0.750 0.894
Ni 0.219 0.250 0.438

Output
E_form   -0.1 eV per formula unit
Raw total energy   -34.03 eV/atom

=====

No. 2
Entry from the Alexandria database: a PBEsol-optimized structure of Ni2W (SCAN).

Unit cell a=3.952 b=3.952 c=3.952 alpha=60.00 beta=60.00 gamma=60.00
Element x y z (fractional)
W 0.000 0.000 0.000
Ni 0.250 0.250 0.250
Ni 0.750 0.750 0.750

Output
E_form   2.3 eV per formula unit
Raw total energy   -33.25 eV/atom

=====

No. 3
Entry from the Alexandria database: a PBEsol-optimized structure of Ni2W (SCAN).

Unit cell a=4.646 b=4.646 c=4.646 alpha=60.00 beta=60.00 gamma=60.00
Site moments in Bohr magnetons follow the coordinates.
Element x y z (fractional)
Ni 0.625 0.625 0.125  0.24
Ni 0.625 0.125 0.625  0.24
Ni 0.125 0.625 0.625  0.24
Ni 0.625 0.625 0.625  0.24
W 0.250 0.250 0.250  0.05
W 0.000 0.000 0.000  0.05

Output
E_form   0.1 eV per formula unit
Raw total energy   -33.98 eV/atom

=====

No. 4
Entry from the Alexandria database: a PBEsol-optimized structure of Ni2W (SCAN).

Unit cell a=4.642 b=4.642 c=15.205 alpha=90.00 beta=90.00 gamma=120.00
Site moments in Bohr magnetons follow the coordinates.
Element x y z (fractional)
Ni 0.500 0.500 0.000  0.45
Ni 0.164 0.836 0.750  0.31
Ni 0.328 0.164 0.250  0.31
Ni 0.500 0.500 0.500  0.45
Ni 0.500 0.000 0.500  0.45
Ni 0.500 0.000 0.000  0.45
Ni 0.000 0.500 0.500  0.45
Ni 0.667 0.333 0.376  0.43
Ni 0.164 0.328 0.750  0.31
Ni 0.836 0.672 0.250  0.31
Ni 0.836 0.164 0.250  0.31
Ni 0.667 0.333 0.124  0.43
Ni 0.000 0.500 0.000  0.45
Ni 0.672 0.836 0.750  0.31
Ni 0.333 0.667 0.876  0.43
Ni 0.333 0.667 0.624  0.43
W 0.000 0.000 0.096  0.16
W 0.667 0.333 0.843  0.14
W 0.000 0.000 0.404  0.16
W 0.000 0.000 0.596  0.16
W 0.667 0.333 0.657  0.14
W 0.333 0.667 0.157  0.14
W 0.000 0.000 0.904  0.16
W 0.333 0.667 0.343  0.14

Output
E_form   0.1 eV per formula unit
Raw total energy   -33.98 eV/atom

=====

No. 5
Entry from the Alexandria database: a PBEsol-optimized structure of YNiW2 (SCAN).

Unit cell a=2.806 b=2.806 c=9.785 alpha=81.76 beta=81.76 gamma=60.00
Element x y z (fractional)
Y 0.500 0.500 0.500
W 0.738 0.738 0.787
W 0.262 0.262 0.213
Ni 0.000 0.000 0.000

Output
E_form   3.0 eV per formula unit
Raw total energy   -45.09 eV/atom

=====

No. 6
Entry from the Alexandria database: a PBEsol-optimized structure of YNiW2 (SCAN).

Unit cell a=2.990 b=4.453 c=5.705 alpha=112.97 beta=105.19 gamma=90.00
Element x y z (fractional)
Ni 0.000 0.500 0.000
W 0.724 0.724 0.449
W 0.276 0.276 0.551
Y 0.500 0.000 0.000

Output
E_form   1.4 eV per formula unit
Raw total energy   -45.50 eV/atom

=====

No. 7
Entry from the Alexandria database: a PBEsol-optimized structure of ZnNiW2 (SCAN).

Unit cell a=2.625 b=4.666 c=4.771 alpha=98.25 beta=90.00 gamma=106.33
Element x y z (fractional)
W 0.248 0.496 0.743
W 0.011 0.021 0.006
Zn 0.492 0.984 0.490
Ni 0.749 0.498 0.261

Output
E_form   1.0 eV per formula unit
Raw total energy   -42.01 eV/atom

=====

No. 8
Entry from the Alexandria database: a PBEsol-optimized structure of ZnNi6W (SCAN).

Unit cell a=6.149 b=6.149 c=10.055 alpha=90.00 beta=90.00 gamma=109.56
Element x y z (fractional)
Ni 0.250 0.750 0.252
Ni 0.124 0.373 0.126
Ni 0.000 0.000 0.500
Ni 0.627 0.876 0.126
Ni 0.375 0.125 0.624
Ni 0.625 0.875 0.624
Ni 0.750 0.250 0.252
Ni 0.500 0.500 0.500
Ni 0.373 0.124 0.126
Ni 0.750 0.250 0.748
Ni 0.876 0.627 0.126
Ni 0.876 0.627 0.874
Ni 0.250 0.750 0.748
Ni 0.875 0.625 0.624
Ni 0.500 0.500 0.000
Ni 0.125 0.375 0.376
Ni 0.373 0.124 0.874
Ni 0.875 0.625 0.376
Ni 0.375 0.125 0.376
Ni 0.000 0.000 0.000
Ni 0.625 0.875 0.376
Ni 0.627 0.876 0.874
Ni 0.124 0.373 0.874
Ni 0.125 0.375 0.624
Zn 0.500 0.500 0.754
Zn 0.249 0.751 0.000
Zn 0.500 0.500 0.246
Zn 0.751 0.249 0.000
W 0.753 0.247 0.500
W 0.247 0.753 0.500
W 0.000 0.000 0.241
W 0.000 0.000 0.759

Output
E_form   -0.8 eV per formula unit
Raw total energy   -22.63 eV/atom